1.
Density functional theory data (PBE-GGA) for a relaxed structure of OsRh2W.

Results
space-group type	No. 47
distance to the lowest polymorph of the same formula	108	meV/atom
formation energy	-33	meV per atom
size of the total moment	0.0	μB per formula unit

a = 2.721 Å, b = 3.949 Å, c = 5.440 Å
α = 90.00°, β = 90.00°, γ = 90.00°
Element x y z (fractional)
Os (0.000, 0.000, 0.000)
Rh (0.500, 0.500, 0.245)
Rh (0.500, 0.500, 0.755)
W (0.000, 0.000, 0.500)

2.
Density functional theory data (PBE-GGA) for a relaxed structure of OsRh2W2.

Results
space-group type	No. 139
distance to the lowest polymorph of the same formula	598	meV/atom
formation energy	818	meV per atom
size of the total moment	0.5	μB per formula unit

a = 3.785 Å, b = 3.785 Å, c = 11.658 Å
α = 90.00°, β = 90.00°, γ = 90.00°
Element x y z (fractional)
Os (0.000, 0.000, 0.000)
Os (0.500, 0.500, 0.500)
Rh (0.000, 0.000, 0.399)
Rh (0.000, 0.000, 0.601)
Rh (0.500, 0.500, 0.101)
Rh (0.500, 0.500, 0.899)
W (0.000, 0.500, 0.250)
W (0.000, 0.500, 0.750)
W (0.500, 0.000, 0.250)
W (0.500, 0.000, 0.750)

3.
Density functional theory data (PBE-GGA) for a relaxed structure of Os2RhW.

Results
space-group type	No. 122
distance to the lowest polymorph of the same formula	1447	meV/atom
formation energy	1372	meV per atom
size of the total moment	0.0	μB per formula unit

a = 5.747 Å, b = 5.747 Å, c = 10.684 Å
α = 90.00°, β = 90.00°, γ = 90.00°
Element x y z (fractional)
Os (0.242, 0.250, 0.125)
Os (0.250, 0.742, 0.375)
Os (0.250, 0.758, 0.875)
Os (0.258, 0.250, 0.625)
Os (0.742, 0.750, 0.625)
Os (0.750, 0.242, 0.875)
Os (0.750, 0.258, 0.375)
Os (0.758, 0.750, 0.125)
Rh (0.000, 0.000, 0.000)
Rh (0.000, 0.500, 0.250)
Rh (0.500, 0.000, 0.750)
Rh (0.500, 0.500, 0.500)
W (0.000, 0.000, 0.500)
W (0.000, 0.500, 0.750)
W (0.500, 0.000, 0.250)
W (0.500, 0.500, 0.000)

> What is the size of the total moment in the third record?

0.0 μB per formula unit

> Among the records above, which one has the lowest formation energy?

OsRh2W

Copy entry 3 word for word.
Density functional theory data (PBE-GGA) for a relaxed structure of Os2RhW.

Results
space-group type	No. 122
distance to the lowest polymorph of the same formula	1447	meV/atom
formation energy	1372	meV per atom
size of the total moment	0.0	μB per formula unit

a = 5.747 Å, b = 5.747 Å, c = 10.684 Å
α = 90.00°, β = 90.00°, γ = 90.00°
Element x y z (fractional)
Os (0.242, 0.250, 0.125)
Os (0.250, 0.742, 0.375)
Os (0.250, 0.758, 0.875)
Os (0.258, 0.250, 0.625)
Os (0.742, 0.750, 0.625)
Os (0.750, 0.242, 0.875)
Os (0.750, 0.258, 0.375)
Os (0.758, 0.750, 0.125)
Rh (0.000, 0.000, 0.000)
Rh (0.000, 0.500, 0.250)
Rh (0.500, 0.000, 0.750)
Rh (0.500, 0.500, 0.500)
W (0.000, 0.000, 0.500)
W (0.000, 0.500, 0.750)
W (0.500, 0.000, 0.250)
W (0.500, 0.500, 0.000)

> Which value of distance to the lowest polymorph of the same formula does entry 3 give?

1447 meV/atom